(1)
Sm12TmTh7: relaxed, PBE.

Summary:
**Size of the total moment**: 1.26 μB/cell
**ΔH_f (0 K)**: 908 meV/atom

Unit cell a=10.0106 b=10.0106 c=10.0106 alpha=109.47 beta=109.47 gamma=109.47
Atoms (fractional coordinates):
Sm  0.0695  0.7728  0.2967
Sm  0.2272  0.2967  0.5240
Sm  0.2272  0.7033  0.9305
Sm  0.2967  0.0695  0.7728
Sm  0.2967  0.5240  0.2272
Sm  0.4760  0.7728  0.7033
Sm  0.5240  0.2272  0.2967
Sm  0.7033  0.4760  0.7728
Sm  0.7033  0.9305  0.2272
Sm  0.7728  0.2967  0.0695
Sm  0.7728  0.7033  0.4760
Sm  0.9305  0.2272  0.7033
Tm  0.0000  0.0000  0.0000
Th  0.0000  0.0000  0.5000
Th  0.0000  0.5000  0.0000
Th  0.0000  0.5000  0.5000
Th  0.5000  0.0000  0.0000
Th  0.5000  0.0000  0.5000
Th  0.5000  0.5000  0.0000
Th  0.5000  0.5000  0.5000

***

(2)
Sm5Tm3Th2: relaxed, PBE.

Summary:
**Size of the total moment**: 0.00 μB/cell
**ΔH_f (0 K)**: 210 meV/atom

Unit cell a=10.1318 b=10.1318 c=9.0316 alpha=108.60 beta=108.60 gamma=115.43
Atoms (fractional coordinates):
Sm  0.0298  0.9702  0.7500
Sm  0.1341  0.3640  0.7517
Sm  0.2211  0.7789  0.7500
Sm  0.2764  0.7236  0.2500
Sm  0.3640  0.1341  0.2517
Sm  0.6360  0.8659  0.7483
Sm  0.7236  0.2764  0.7500
Sm  0.7789  0.2211  0.2500
Sm  0.8659  0.6360  0.2483
Sm  0.9702  0.0298  0.2500
Tm  0.0260  0.2689  0.0438
Tm  0.2689  0.0260  0.5438
Tm  0.4649  0.5351  0.2500
Tm  0.5351  0.4649  0.7500
Tm  0.7311  0.9740  0.4562
Tm  0.9740  0.7311  0.9562
Th  0.2444  0.4875  0.4813
Th  0.4875  0.2444  0.9813
Th  0.5125  0.7556  0.0187
Th  0.7556  0.5125  0.5187

***

(3)
SmTm6Th12: relaxed, PBE.

Summary:
**Size of the total moment**: 0.00 μB/cell
**ΔH_f (0 K)**: 240 meV/atom

Unit cell a=8.6986 b=8.6986 c=8.6986 alpha=99.48 beta=99.48 gamma=99.48
Atoms (fractional coordinates):
Sm  0.0000  0.0000  0.0000
Tm  0.0997  0.0997  0.6609
Tm  0.0997  0.6609  0.0997
Tm  0.3391  0.9003  0.9003
Tm  0.6609  0.0997  0.0997
Tm  0.9003  0.3391  0.9003
Tm  0.9003  0.9003  0.3391
Th  0.0833  0.3498  0.3498
Th  0.2456  0.5000  0.7544
Th  0.2456  0.7544  0.5000
Th  0.3498  0.0833  0.3498
Th  0.3498  0.3498  0.0833
Th  0.5000  0.2456  0.7544
Th  0.5000  0.7544  0.2456
Th  0.6502  0.6502  0.9167
Th  0.6502  0.9167  0.6502
Th  0.7544  0.2456  0.5000
Th  0.7544  0.5000  0.2456
Th  0.9167  0.6502  0.6502

***

- Look up the size of the total moment of the third one.
  0.00 μB/cell

***

- Number 1 is which compound?
  Sm12TmTh7